VASP calculation (PBE-GGA) on a relaxed Sr2TiFe crystal.

Structure (POSCAR):
```
Sr2TiFe
1.0
4.898 -0.693 1.891
1.198 -4.393 2.705
3.177 -3.650 -2.151
Ti Sr Fe
1 2 1
Direct
0.000 0.000 0.000
0.250 0.250 0.250
0.750 0.750 0.750
0.500 0.500 0.500
```

Results
ΔE to the lowest computed polymorph, meV/atom: 594
Symmetry: Fm-3m (225)
Formation energy from the elements, meV per atom: 1205
N(E_F), states/eV per cell: 9.216
Calculated density, g/cm3: 4.41